Record 1
Density functional theory data (PBE) for an optimized crystal structure of Mg2ReB6.

```
Mg2ReB6
1.0
-1.799 8.530 2.267
-10.815 -1.786 -1.860
-0.402 -0.949 3.250
B Mg Re
24 8 4
Cartesian
-0.639 0.264 1.786 B
-6.401 3.725 2.084 B
-7.988 6.578 2.720 B
-9.661 2.546 1.336 B
-2.367 0.333 1.593 B
-2.395 5.864 3.203 B
-1.881 4.151 2.767 B
-5.246 0.979 1.425 B
-9.473 4.177 1.835 B
-5.028 -0.783 0.938 B
-5.084 7.377 3.312 B
-10.649 5.462 2.065 B
-7.932 -1.582 0.345 B
-7.770 4.815 2.232 B
-3.355 3.249 2.321 B
-6.616 2.069 1.574 B
-8.199 1.453 1.198 B
-11.135 1.644 0.890 B
-3.543 1.618 1.822 B
-12.377 5.531 1.871 B
-10.621 -0.069 0.454 B
-4.244 5.916 2.990 B
-4.817 4.342 2.459 B
-8.772 -0.121 0.667 B
-6.658 0.402 -0.707 Mg
-4.826 3.143 0.320 Mg
-9.527 -1.101 -1.500 Mg
-7.788 3.600 0.087 Mg
-11.076 4.086 -0.178 Mg
-1.538 2.658 0.585 Mg
-3.087 7.844 1.908 Mg
-5.956 6.341 1.114 Mg
-9.507 1.557 -0.722 Re
-8.890 6.072 0.672 Re
-3.724 0.671 -0.265 Re
-3.107 5.186 1.129 Re
```

Properties
As for the space group: Pbam.

---

Record 2
Density functional theory data (PBE) for an optimized crystal structure of MgReB4.

```
MgReB4
1.0
-5.517 1.955 0.817
-1.300 -7.247 8.560
1.178 2.400 2.211
B Mg Re
16 4 4
Cartesian
-1.279 0.429 2.937 B
-2.108 -1.303 5.260 B
-1.487 1.701 1.668 B
-4.816 -0.504 5.835 B
-2.479 -0.045 4.091 B
-3.161 -2.847 7.496 B
-4.350 2.555 2.265 B
-4.152 -4.593 9.920 B
-1.435 -3.369 7.144 B
-5.101 1.694 3.600 B
-3.531 -1.588 6.327 B
-4.205 0.477 4.444 B
-4.360 -3.321 8.650 B
-0.823 -2.388 5.753 B
-1.290 -5.447 9.323 B
-0.539 -4.586 7.988 B
-3.192 -5.416 7.581 Mg
-5.692 -2.997 6.286 Mg
-1.125 -2.295 3.091 Mg
-3.625 0.124 1.796 Mg
-4.036 -1.767 4.069 Re
-2.781 -3.524 5.308 Re
-5.968 -4.937 8.539 Re
-0.849 -0.355 0.838 Re
```

Properties
The calculation puts the excess energy over the best structure of this formula in the dataset at 0.0000 eV/atom. As for the space group: Pbam.

---

Record 3
Density functional theory data (PBE) for an optimized crystal structure of MgReB4.

```
MgReB4
1.0
2.989 0.000 0.000
-1.495 2.589 0.000
0.000 0.000 6.964
B Re Mg
4 1 1
Cartesian
1.495 0.863 1.702 B
0.000 1.726 1.702 B
0.000 1.726 5.263 B
1.495 0.863 5.263 B
0.000 0.000 0.000 Re
0.000 0.000 3.482 Mg
```

Properties
The calculation puts the excess energy over the best structure of this formula in the dataset at 0.1295 eV/atom. As for the space group: P6/mmm.

---

Record 4
Density functional theory data (PBE) for an optimized crystal structure of MgReBTe.

```
MgReBTe
1.0
-0.585 -3.175 3.056
-3.295 0.347 2.964
-3.514 -2.710 -0.255
Te B Mg Re
1 1 1 1
Cartesian
0.000 0.000 0.000 Te
-3.697 -2.769 2.882 B
-5.545 -4.154 4.323 Mg
-1.848 -1.385 1.441 Re
```

Properties
The calculation puts the excess energy over the best structure of this formula in the dataset at 0.0000 eV/atom. As for the space group: F-43m.

---

Record 5
Density functional theory data (PBE) for an optimized crystal structure of MgReBW.

```
MgReBW
1.0
0.000 2.976 2.976
2.976 0.000 2.976
2.976 2.976 0.000
W Re B Mg
1 1 1 1
Cartesian
0.000 0.000 0.000 W
2.976 2.976 2.976 Re
1.488 1.488 1.488 B
4.464 4.464 4.464 Mg
```

Properties
The calculation puts the excess energy over the best structure of this formula in the dataset at 0.4548 eV/atom. As for the space group: F-43m.

---

Record 6
Density functional theory data (PBE) for an optimized crystal structure of MgReBW.

```
MgReBW
1.0
0.000 2.999 2.999
2.999 0.000 2.999
2.999 2.999 0.000
Re W Mg B
1 1 1 1
Cartesian
1.500 1.500 1.500 Re
0.000 0.000 0.000 W
4.499 4.499 4.499 Mg
2.999 2.999 2.999 B
```

Properties
The calculation puts the excess energy over the best structure of this formula in the dataset at 0.0000 eV/atom. As for the space group: F-43m.

---

no.,calculated total energy (eV per atom)
1,-6.327
2,-6.957
3,-6.828
4,-5.038
5,-7.353
6,-7.808